# 1
Material: CsCaF2
Method: DFT, PBE
State: relaxed

Unit cell a=6.515 b=6.515 c=7.474 alpha=64.16 beta=64.16 gamma=90.00
Positions (direct):
F (0.375, 0.545, 0.750)
F (0.455, 0.125, 0.250)
F (0.875, 0.705, 0.750)
F (0.295, 0.625, 0.250)
Ca (0.500, 0.500, 0.000)
Ca (0.250, 0.750, 0.500)
Cs (0.000, 0.000, 0.000)
Cs (0.750, 0.250, 0.500)

Output
- total DFT energy (no corrections) (eV/atom) = -4.2977
- polymorph energy (0 for the lowest one) (meV per atom) = 0
- formation energy (no corrections) (meV per atom) = -2648
- magnetic moment (μB/f.u.) = 0.00
- V (A^3/atom) = 31.226


# 2
Material: Cs3Ca2F7
Method: DFT, PBE
State: relaxed

Unit cell a=4.566 b=4.566 c=12.529 alpha=100.50 beta=100.50 gamma=90.00
Positions (direct):
Ca (0.094, 0.094, 0.189)
Ca (0.906, 0.906, 0.811)
Cs (0.687, 0.687, 0.373)
Cs (0.500, 0.500, 0.000)
Cs (0.313, 0.313, 0.627)
F (0.596, 0.096, 0.191)
F (0.904, 0.404, 0.809)
F (0.811, 0.811, 0.622)
F (0.189, 0.189, 0.378)
F (0.096, 0.596, 0.191)
F (0.404, 0.904, 0.809)
F (0.000, 0.000, 0.000)

Output
- total DFT energy (no corrections) (eV/atom) = -4.9828
- formation energy (no corrections) (meV per atom) = -3344
- magnetic moment (μB/f.u.) = 0.27
- V (A^3/atom) = 21.030


# 3
Material: Cs2CaF3
Method: DFT, PBE
State: relaxed

Unit cell a=4.388 b=7.177 c=14.072 alpha=90.00 beta=98.97 gamma=90.00
Positions (direct):
Cs (0.855, 0.250, 0.711)
Cs (0.930, 0.750, 0.860)
Cs (0.070, 0.250, 0.140)
Cs (0.145, 0.750, 0.289)
F (0.180, 0.250, 0.361)
F (0.374, 0.534, 0.749)
F (0.820, 0.750, 0.639)
F (0.626, 0.466, 0.251)
F (0.626, 0.034, 0.251)
F (0.374, 0.966, 0.749)
Ca (0.318, 0.750, 0.636)
Ca (0.682, 0.250, 0.364)

Output
- total DFT energy (no corrections) (eV/atom) = -4.2650
- formation energy (no corrections) (meV per atom) = -2711
- magnetic moment (μB/f.u.) = 0.00
- V (A^3/atom) = 36.475


# 4
Material: CsCaF3
Method: DFT, PBE
State: relaxed

Unit cell a=6.473 b=4.579 c=6.474 alpha=134.99 beta=60.01 gamma=89.98
Positions (direct):
F (0.452, 0.880, 0.604)
F (0.452, 0.879, 0.103)
F (0.952, 0.879, 0.603)
Cs (0.952, 0.880, 0.104)
Ca (0.452, 0.379, 0.103)

Output
- total DFT energy (no corrections) (eV/atom) = -5.1722
- formation energy (no corrections) (meV per atom) = -3478
- magnetic moment (μB/f.u.) = 0.00
- V (A^3/atom) = 19.200


# 5
Material: CsCa3F
Method: DFT, PBE
State: relaxed

Unit cell a=6.753 b=6.753 c=6.753 alpha=90.00 beta=90.00 gamma=90.00
Positions (direct):
Ca (0.500, 0.000, 0.000)
Ca (0.000, 0.500, 0.000)
Ca (0.000, 0.000, 0.500)
Cs (0.000, 0.000, 0.000)
F (0.500, 0.500, 0.500)

Output
- total DFT energy (no corrections) (eV/atom) = -0.9744
- polymorph energy (0 for the lowest one) (meV per atom) = 1446
- formation energy (no corrections) (meV per atom) = 772
- magnetic moment (μB/f.u.) = 4.06
- V (A^3/atom) = 61.604


# 6
Material: Cs2CaF
Method: DFT, PBE
State: relaxed

Unit cell a=6.923 b=6.923 c=6.923 alpha=60.00 beta=60.00 gamma=60.00
Positions (direct):
Cs (0.750, 0.750, 0.750)
Cs (0.250, 0.250, 0.250)
F (0.000, 0.000, 0.000)
Ca (0.500, 0.500, 0.500)

Output
- total DFT energy (no corrections) (eV/atom) = -1.8789
- formation energy (no corrections) (meV per atom) = -484
- magnetic moment (μB/f.u.) = 0.87
- V (A^3/atom) = 58.660


# 7
Material: Cs3CaF7
Method: DFT, PBE
State: relaxed

Unit cell a=7.008 b=7.008 c=7.100 alpha=64.82 beta=64.82 gamma=93.85
Positions (direct):
F (0.850, 0.850, 0.831)
F (0.935, 0.307, 0.800)
F (0.668, 0.668, 0.418)
F (0.307, 0.935, 0.800)
F (0.673, 0.129, 0.139)
F (0.129, 0.673, 0.139)
F (0.115, 0.115, 0.168)
Cs (0.777, 0.225, 0.485)
Cs (0.507, 0.507, 0.927)
Cs (0.225, 0.777, 0.485)
Ca (0.939, 0.939, 0.057)

Output
- total DFT energy (no corrections) (eV/atom) = -4.1540
- formation energy (no corrections) (meV per atom) = -2548
- magnetic moment (μB/f.u.) = 2.20
- V (A^3/atom) = 24.737


# 8
Material: Cs3Ca5F12
Method: DFT, PBE
State: relaxed

Unit cell a=13.225 b=13.225 c=13.225 alpha=109.47 beta=109.47 gamma=109.47
Positions (direct):
Ca (0.625, 0.875, 0.250)
Ca (0.875, 0.250, 0.625)
Ca (0.500, 0.000, 0.500)
Ca (0.375, 0.125, 0.750)
Ca (0.125, 0.750, 0.375)
Ca (0.250, 0.875, 0.125)
Ca (0.000, 0.500, 0.500)
Ca (0.250, 0.375, 0.625)
Ca (0.625, 0.750, 0.875)
Ca (0.500, 0.000, 0.000)
Ca (0.375, 0.250, 0.125)
Ca (0.000, 0.000, 0.500)
Ca (0.750, 0.125, 0.875)
Ca (0.875, 0.625, 0.750)
Ca (0.000, 0.000, 0.000)
Ca (0.500, 0.500, 0.500)
Ca (0.750, 0.625, 0.375)
Ca (0.500, 0.500, 0.000)
Ca (0.125, 0.375, 0.250)
Ca (0.000, 0.500, 0.000)
F (0.998, 0.606, 0.178)
F (0.572, 0.681, 0.678)
F (0.894, 0.072, 0.892)
F (0.608, 0.002, 0.181)
F (0.106, 0.178, 0.498)
F (0.108, 0.428, 0.106)
F (0.822, 0.894, 0.002)
F (0.928, 0.106, 0.608)
F (0.498, 0.819, 0.892)
F (0.894, 0.822, 0.502)
F (0.178, 0.072, 0.681)
F (0.606, 0.998, 0.678)
F (0.998, 0.392, 0.319)
F (0.108, 0.681, 0.502)
F (0.428, 0.108, 0.606)
F (0.606, 0.608, 0.428)
F (0.678, 0.498, 0.606)
F (0.572, 0.892, 0.394)
F (0.678, 0.181, 0.572)
F (0.819, 0.498, 0.392)
F (0.498, 0.678, 0.106)
F (0.072, 0.178, 0.181)
F (0.322, 0.502, 0.394)
F (0.822, 0.928, 0.319)
F (0.681, 0.572, 0.178)
F (0.178, 0.106, 0.998)
F (0.502, 0.181, 0.108)
F (0.502, 0.322, 0.894)
F (0.002, 0.394, 0.822)
F (0.392, 0.394, 0.072)
F (0.322, 0.819, 0.428)
F (0.928, 0.822, 0.819)
F (0.072, 0.894, 0.392)
F (0.002, 0.608, 0.681)
F (0.608, 0.606, 0.928)
F (0.681, 0.108, 0.002)
F (0.392, 0.998, 0.819)
F (0.428, 0.319, 0.322)
F (0.181, 0.502, 0.608)
F (0.819, 0.322, 0.928)
F (0.319, 0.428, 0.822)
F (0.106, 0.928, 0.108)
F (0.394, 0.392, 0.572)
F (0.892, 0.319, 0.498)
F (0.181, 0.678, 0.072)
F (0.319, 0.892, 0.998)
F (0.394, 0.002, 0.322)
F (0.892, 0.572, 0.894)
Cs (0.750, 0.375, 0.125)
Cs (0.750, 0.875, 0.625)
Cs (0.875, 0.125, 0.250)
Cs (0.625, 0.375, 0.750)
Cs (0.125, 0.250, 0.875)
Cs (0.375, 0.625, 0.250)
Cs (0.125, 0.875, 0.750)
Cs (0.375, 0.750, 0.625)
Cs (0.250, 0.625, 0.875)
Cs (0.250, 0.125, 0.375)
Cs (0.875, 0.750, 0.125)
Cs (0.625, 0.250, 0.375)

Output
- total DFT energy (no corrections) (eV/atom) = -5.1202
- formation energy (no corrections) (meV per atom) = -3369
- magnetic moment (μB/f.u.) = 0.00
- V (A^3/atom) = 22.259


# 9
Material: CsCaF3
Method: DFT, PBE
State: relaxed

Unit cell a=8.748 b=8.748 c=5.927 alpha=90.00 beta=90.00 gamma=148.34
Positions (direct):
Cs (0.821, 0.179, 0.750)
Cs (0.179, 0.821, 0.250)
F (0.413, 0.078, 0.750)
F (0.078, 0.413, 0.250)
F (0.000, 0.000, 0.500)
F (0.587, 0.922, 0.250)
F (0.000, 0.000, 0.000)
F (0.922, 0.587, 0.750)
Ca (0.571, 0.429, 0.750)
Ca (0.429, 0.571, 0.250)

Output
- total DFT energy (no corrections) (eV/atom) = -4.4537
- formation energy (no corrections) (meV per atom) = -2760
- magnetic moment (μB/f.u.) = 0.00
- V (A^3/atom) = 23.809


# 10
Material: Cs3CaF5
Method: DFT, PBE
State: relaxed

Unit cell a=8.102 b=8.102 c=9.001 alpha=116.75 beta=116.75 gamma=90.00
Positions (direct):
Cs (0.750, 0.750, 0.500)
Cs (0.250, 0.250, 0.500)
Cs (0.319, 0.819, 0.000)
Cs (0.819, 0.681, 0.000)
Cs (0.181, 0.319, 0.000)
Cs (0.681, 0.181, 0.000)
F (0.697, 0.197, 0.689)
F (0.197, 0.992, 0.689)
F (0.303, 0.803, 0.311)
F (0.803, 0.008, 0.311)
F (0.992, 0.492, 0.689)
F (0.500, 0.500, 0.000)
F (0.508, 0.303, 0.311)
F (0.000, 0.000, 0.000)
F (0.008, 0.508, 0.311)
F (0.492, 0.697, 0.689)
Ca (0.250, 0.750, 0.500)
Ca (0.750, 0.250, 0.500)

Output
- total DFT energy (no corrections) (eV/atom) = -4.5570
- formation energy (no corrections) (meV per atom) = -3010
- magnetic moment (μB/f.u.) = 0.06
- V (A^3/atom) = 25.317


# 11
Material: CsCaF2
Method: DFT, PBE
State: relaxed

Unit cell a=8.013 b=8.013 c=8.013 alpha=31.79 beta=31.79 gamma=31.79
Positions (direct):
Ca (0.000, 0.000, 0.000)
Cs (0.500, 0.500, 0.500)
F (0.907, 0.907, 0.907)
F (0.093, 0.093, 0.093)

Output
- total DFT energy (no corrections) (eV/atom) = -4.2970
- polymorph energy (0 for the lowest one) (meV per atom) = 1
- formation energy (no corrections) (meV per atom) = -2648
- magnetic moment (μB/f.u.) = 0.00
- V (A^3/atom) = 31.708


# 12
Material: CsCaF2
Method: DFT, PBE
State: relaxed

Unit cell a=4.946 b=4.946 c=4.946 alpha=60.00 beta=60.00 gamma=60.00
Positions (direct):
Ca (0.000, 0.000, 0.000)
F (0.250, 0.250, 0.250)
F (0.750, 0.750, 0.750)
Cs (0.500, 0.500, 0.500)

Output
- total DFT energy (no corrections) (eV/atom) = -3.6345
- polymorph energy (0 for the lowest one) (meV per atom) = 663
- formation energy (no corrections) (meV per atom) = -1985
- magnetic moment (μB/f.u.) = 0.78
- V (A^3/atom) = 21.392


Question: What is the V in the ninth record?
Answer: 23.809 A^3/atom


Please write out number 1 again, unchanged.
Material: CsCaF2
Method: DFT, PBE
State: relaxed

Unit cell a=6.515 b=6.515 c=7.474 alpha=64.16 beta=64.16 gamma=90.00
Positions (direct):
F (0.375, 0.545, 0.750)
F (0.455, 0.125, 0.250)
F (0.875, 0.705, 0.750)
F (0.295, 0.625, 0.250)
Ca (0.500, 0.500, 0.000)
Ca (0.250, 0.750, 0.500)
Cs (0.000, 0.000, 0.000)
Cs (0.750, 0.250, 0.500)

Output
- total DFT energy (no corrections) (eV/atom) = -4.2977
- polymorph energy (0 for the lowest one) (meV per atom) = 0
- formation energy (no corrections) (meV per atom) = -2648
- magnetic moment (μB/f.u.) = 0.00
- V (A^3/atom) = 31.226


Question: The lowest formation energy (no corrections) belongs to which entry?
Answer: number 4